No. 1
TmAlSi: PBEsol geometry, SCAN.

Unit cell a=3.9589 b=10.0213 c=5.5948 alpha=90.00 beta=90.00 gamma=90.00
With the nearest neighbours (Å) after each atom.
Space group Cmcm (No. 63)
One atom of each set of equivalent atoms:
Tm  0.0000  0.1955  0.2500  5 Si 2.84-2.97, 4 Al 3.12
Al  0.0000  0.5000  0.0000  4 Si 2.63, 2 Al 2.80
Si  0.0000  0.1012  0.7500  4 Al 2.63, 2 Tm 2.84

- Formation energy (no corrections): -0.633 eV per atom
- Total moment: 0.0 μB per cell



No. 2
Tm2Al3Si2: PBEsol geometry, SCAN.

Unit cell a=9.9477 b=3.9862 c=6.4868 alpha=90.00 beta=100.42 gamma=90.00
With the nearest neighbours (Å) after each atom.
Space group C2/m (No. 12)
One atom of each set of equivalent atoms:
Tm  0.1187  0.0000  0.3232  5 Si 2.82-2.95, 5 Al 2.98-3.14
Al  0.0000  0.5000  0.0000  2 Si 2.68, 4 Tm 2.98, 2 Al 3.00
Al  0.1953  0.0000  0.8668  2 Si 2.58, 2 Al 2.73
Si  0.0944  0.5000  0.6388  1 Si 2.36, 2 Al 2.58

- Formation energy (no corrections): -0.553 eV per atom
- Total moment: 0.0 μB per cell



No. 3
U2Al3Si3: PBEsol geometry, SCAN.

Unit cell a=4.0914 b=4.1906 c=7.9345 alpha=90.00 beta=90.00 gamma=90.00
With the nearest neighbours (Å) after each atom.
Space group Pmmm (No. 47)
One atom of each set of equivalent atoms:
U  0.0000  0.0000  0.2401  6 Si 2.80-2.91, 6 Al 2.93-2.94
Al  0.0000  0.5000  0.5000  4 Al 2.86, 4 Si 2.93, 4 U 2.94
Al  0.5000  0.5000  0.2488  6 Si 2.84-2.89, 2 Al 2.86, 4 U 2.93
Si  0.0000  0.5000  0.0000  4 U 2.83, 4 Al 2.84, 4 Si 2.93
Si  0.5000  0.0000  0.0000  4 U 2.80, 4 Al 2.88, 4 Si 2.93
Si  0.5000  0.0000  0.5000  8 Al 2.89-2.93, 4 U 2.91

- Formation energy (no corrections): -0.157 eV per atom
- Total moment: 0.0 μB per cell



No. 4
AlV12Si3: PBEsol geometry, SCAN.

Unit cell a=4.6611 b=4.6833 c=9.3590 alpha=90.00 beta=90.00 gamma=90.00
With the nearest neighbours (Å) after each atom.
Space group Pmmm (No. 47)
One atom of each set of equivalent atoms:
Al  0.0000  0.0000  0.0000  12 V 2.63-2.67
V  0.0000  0.2536  0.2553  2 V 2.31-2.38, 1 Si 2.58
V  0.2489  0.5000  0.5000  2 V 2.32-2.34
V  0.2605  0.5000  0.0000  2 V 2.23-2.43
V  0.5000  0.0000  0.1300  2 V 2.28-2.43
V  0.5000  0.0000  0.3736  2 V 2.28-2.37
Si  0.0000  0.0000  0.5000  12 V 2.58-2.61
Si  0.5000  0.5000  0.2512  12 V 2.60-2.61

- Formation energy (no corrections): -0.398 eV per atom
- Total moment: 4.2 μB per cell



No. 5
AlSiW: PBEsol geometry, SCAN.

Unit cell a=3.1998 b=3.1998 c=8.3204 alpha=90.00 beta=90.00 gamma=90.00
With the nearest neighbours (Å) after each atom.
Space group I4mm (No. 107)
One atom of each set of equivalent atoms:
Al  0.0000  0.0000  0.0000  5 Si 2.67-2.75, 5 W 2.69-2.70
Si  0.0000  0.0000  0.6701  5 W 2.60-2.88, 5 Al 2.67-2.75
W  0.0000  0.0000  0.3234  5 Si 2.60-2.88, 5 Al 2.69-2.70

- Formation energy (no corrections): -0.162 eV per atom
- Total moment: 0.0 μB per cell



No. 6
AlSiW2: PBEsol geometry, SCAN.

Unit cell a=3.3672 b=4.1845 c=8.2438 alpha=90.00 beta=90.00 gamma=90.00
With the nearest neighbours (Å) after each atom.
Space group Imm2 (No. 44)
One atom of each set of equivalent atoms:
Al  0.0000  0.0000  0.0000  8 W 2.69-2.90, 4 Si 2.70-2.91
Si  0.0000  0.5000  0.7555  6 W 2.61-2.69, 4 Al 2.70-2.91
W  0.0000  0.0000  0.4969  2 Si 2.61, 2 W 2.65, 4 Al 2.69
W  0.0000  0.5000  0.2444  4 W 2.65-2.95, 4 Si 2.69, 4 Al 2.70-2.90

- Formation energy (no corrections): 0.061 eV per atom
- Total moment: 0.0 μB per cell



No. 7
AlSiW: PBEsol geometry, SCAN.

Unit cell a=3.4338 b=4.2117 c=12.2516 alpha=90.00 beta=90.00 gamma=90.00
With the nearest neighbours (Å) after each atom.
Space group Fmm2 (No. 42)
One atom of each set of equivalent atoms:
Al  0.0000  0.0000  0.0000  4 W 2.69-2.96, 4 Al 2.72, 4 Si 2.72-2.98
Si  0.0000  0.0000  0.6722  4 W 2.59-2.87, 4 Si 2.72, 2 Al 2.72
W  0.0000  0.0000  0.3308  4 Si 2.59-2.87, 2 Al 2.69, 4 W 2.72

- Formation energy (no corrections): 0.229 eV per atom
- Total moment: 0.0 μB per cell



No. 8
AlSiW2: PBEsol geometry, SCAN.

Unit cell a=3.1898 b=3.1898 c=5.6765 alpha=90.00 beta=90.00 gamma=90.00
With the nearest neighbours (Å) after each atom.
Space group P4mm (No. 99)
One atom of each set of equivalent atoms:
Al  0.0000  0.0000  0.0000  4 Si 2.65, 6 W 2.67-2.94
Si  0.5000  0.5000  0.2467  6 W 2.62-2.85, 4 Al 2.65
W  0.0000  0.0000  0.4822  4 Si 2.62, 4 W 2.72, 1 Al 2.74
W  0.5000  0.5000  0.7492  4 Al 2.67, 4 W 2.72, 2 Si 2.82-2.85

- Formation energy (no corrections): -0.152 eV per atom
- Total moment: 0.0 μB per cell



No. 9
Al2SiW: PBEsol geometry, SCAN.

Unit cell a=2.8208 b=4.2860 c=5.1922 alpha=90.00 beta=105.51 gamma=90.00
With the nearest neighbours (Å) after each atom.
Space group Pm (No. 6)
One atom of each set of equivalent atoms:
Al  0.0000  0.0000  0.0000  3 W 2.65-2.74, 4 Si 2.76, 2 Al 2.82
Al  0.3390  0.5000  0.6883  3 Si 2.58-2.81, 4 W 2.79, 2 Al 2.82
Si  0.5991  0.5000  0.2042  2 W 2.52, 7 Al 2.58-2.81, 2 Si 2.82
W  0.7315  0.0000  0.4698  2 Si 2.52, 7 Al 2.65-2.79, 2 W 2.82

- Formation energy (no corrections): 0.017 eV per atom
- Total moment: 0.0 μB per cell



No. 10
Y2AlSi2: PBEsol geometry, SCAN.

Unit cell a=4.0595 b=5.6306 c=8.6604 alpha=90.00 beta=90.00 gamma=90.00
With the nearest neighbours (Å) after each atom.
Space group Immm (No. 71)
One atom of each set of equivalent atoms:
Y  0.0000  0.0000  0.2097  6 Si 2.97-2.99, 2 Al 3.23
Al  0.0000  0.5000  0.0000  4 Si 2.60
Si  0.0000  0.2888  0.5000  1 Si 2.38, 2 Al 2.60

- Formation energy (no corrections): -0.779 eV per atom
- Total moment: 0.0 μB per cell



No. 11
YAlSi2: PBEsol geometry, SCAN.

Unit cell a=3.2026 b=3.2026 c=25.3168 alpha=90.00 beta=90.00 gamma=120.00
With the nearest neighbours (Å) after each atom.
Space group R-3m (No. 166, hexagonal axes)
One atom of each set of equivalent atoms:
Y  0.0000  0.0000  0.0000  6 Si 2.98, 6 Y 3.20
Al  0.0000  0.0000  0.5000  6 Si 2.63
Si  0.0000  0.0000  0.2408  3 Al 2.63

- Formation energy (no corrections): 0.086 eV per atom
- Total moment: 0.0 μB per cell



No. 12
YAl2Si: PBEsol geometry, SCAN.

Unit cell a=4.0894 b=4.0894 c=4.3656 alpha=90.00 beta=90.00 gamma=90.00
With the nearest neighbours (Å) after each atom.
Space group P4/mmm (No. 123)
One atom of each set of equivalent atoms:
Y  0.0000  0.0000  0.0000  4 Si 2.89, 8 Al 2.99
Al  0.0000  0.5000  0.5000  4 Al 2.89, 4 Si 2.99, 4 Y 2.99
Si  0.5000  0.5000  0.0000  4 Y 2.89, 8 Al 2.99

- Formation energy (no corrections): -0.364 eV per atom
- Total moment: 0.0 μB per cell